ReAgPb2 | GGA-PBE | optimized geometry

Summary:
- energy (eV per atom) = -4.988
- polymorph energy (0 for the lowest one) (kJ/mol of atoms) = 0.0
- space-group type = No. 44
- E_form (meV/atom) = 691

Structure (POSCAR):
```
ReAgPb2
1.0
-1.540 2.307 6.684
1.540 -2.307 6.684
1.540 2.307 -6.684
Re Ag Pb
1 1 2
direct
0.000 0.000 0.000 Re
0.182 0.682 0.500 Ag
0.510 0.510 0.000 Pb
0.802 0.302 0.500 Pb
```